[1]
Density functional theory data (PBE) for Li2HgO2 after structural relaxation.

The distance to the lowest polymorph of the same formula comes out at 0 meV/atom. The value obtained for the formation energy from raw total energies is -1220.0 meV per atom. Its magnetic moment is 0.000 μB per atom. The energy is -4.029 eV/atom. The calculated density comes out at 6.7 g/cm3.

The space group is I4/mmm (No. 139) and the conventional cell measures 3.0879, 3.0879 and 12.7787 Å, with angles of 90.00, 90.00 and 90.00 degrees. The distinct sites, in fractional coordinates, are Li at (0.0000, 0.0000, 0.1873), Hg at (0.0000, 0.0000, 0.5000) and O at (0.0000, 0.0000, 0.3420).

---

[2]
Density functional theory data (PBE) for Nd2ThBi after structural relaxation.

The distance to the lowest polymorph of the same formula comes out at 378 meV/atom. Its magnetic moment is 0.000 μB per atom. The formation energy comes out at 3.4 kJ/mol of formula units. The energy is -5.200 eV/atom. The calculated density comes out at 8.8 g/cm3.

The space group is R-3m (No. 166, hexagonal axes) and the conventional cell measures 3.6029, 3.6029 and 36.9000 Å, with angles of 90.00, 90.00 and 120.00 degrees. The distinct sites, in fractional coordinates, are Nd at (0.0000, 0.0000, 0.0884), Th at (0.0000, 0.0000, 0.5000) and Bi at (0.0000, 0.0000, 0.0000).

---

[3]
Density functional theory data (PBE) for Pr2Ga7Pt12 after structural relaxation.

Its magnetic moment is 0.000 μB per atom. The formation energy comes out at -1554.6 kJ/mol of formula units. The energy is -5.683 eV/atom. The calculated density comes out at 14.2 g/cm3.

The space group is P-6 (No. 174) and the conventional cell measures 10.0986, 10.0986 and 4.1250 Å, with angles of 90.00, 90.00 and 120.00 degrees. The distinct sites, in fractional coordinates, are Pr at (0.0000, 0.0000, 0.0000), Pr at (0.3333, 0.6667, 0.5000), Ga at (0.0444, 0.5810, 0.0000), Ga at (0.2671, 0.0200, 0.5000), Ga at (0.6667, 0.3333, 0.0000), Pt at (0.0264, 0.7620, 0.5000), Pt at (0.1427, 0.3957, 0.0000), Pt at (0.3830, 0.1927, 0.0000) and Pt at (0.5585, 0.1310, 0.5000).

---

[4]
Density functional theory data (PBE) for Pr5ScAg4 after structural relaxation.

Its magnetic moment is 0.023 μB per atom. The formation energy comes out at -174.1 kJ/mol of formula units. The energy is -4.344 eV/atom. The calculated density comes out at 7.1 g/cm3.

The space group is P4/mmm (No. 123) and the conventional cell measures 3.7482, 3.7482 and 19.7342 Å, with angles of 90.00, 90.00 and 90.00 degrees. The distinct sites, in fractional coordinates, are Pr at (0.0000, 0.0000, 0.0000), Pr at (0.0000, 0.0000, 0.1952), Pr at (0.0000, 0.0000, 0.3896), Sc at (0.5000, 0.5000, 0.5000), Ag at (0.5000, 0.5000, 0.0966) and Ag at (0.5000, 0.5000, 0.2952).

---

[5]
Density functional theory data (PBE) for CsLuIn2 after structural relaxation.

Its magnetic moment is 0.000 μB per atom. The formation energy comes out at -65.9 kJ/mol of formula units. The energy is -2.884 eV/atom. The calculated density comes out at 6.6 g/cm3.

The space group is P4/mmm (No. 123) and the conventional cell measures 3.8466, 3.8466 and 9.1920 Å, with angles of 90.00, 90.00 and 90.00 degrees. The distinct sites, in fractional coordinates, are Cs at (0.0000, 0.0000, 0.0000), Lu at (0.0000, 0.0000, 0.5000) and In at (0.5000, 0.5000, 0.3173).

---

[6]
Density functional theory data (PBE) for Ho4C7 after structural relaxation.

The distance to the lowest polymorph of the same formula comes out at 76 meV/atom. Its magnetic moment is 0.000 μB per atom. The formation energy comes out at -229.6 kJ/mol of formula units. The energy is -7.751 eV/atom. The calculated density comes out at 7.3 g/cm3.

The space group is P2_1/c (No. 14) and the conventional cell measures 3.7658, 12.8836 and 13.9970 Å, with angles of 90.00, 92.42 and 90.00 degrees. The distinct sites, in fractional coordinates, are Ho at (0.2174, 0.1891, 0.2916), Ho at (0.2490, 0.5230, 0.6101), Ho at (0.2539, 0.7208, 0.0039), Ho at (0.2643, 0.0218, 0.6078), C at (0.2214, 0.6448, 0.8413), C at (0.2366, 0.1116, 0.4461), C at (0.2466, 0.5886, 0.4538), C at (0.2585, 0.5945, 0.3588), C at (0.2608, 0.6668, 0.7510), C at (0.2811, 0.6988, 0.6598) and C at (0.2908, 0.5716, 0.2671).

---

[7]
Density functional theory data (PBE) for Ac3SmS4 after structural relaxation.

The distance to the lowest polymorph of the same formula comes out at 0 meV/atom. The value obtained for the formation energy from raw total energies is -1997.1 meV per atom. Its magnetic moment is 0.000 μB per atom. The energy is -6.191 eV/atom. The calculated density comes out at 7.4 g/cm3.

The space group is P2/c (No. 13) and the conventional cell measures 7.3714, 8.4126 and 7.3420 Å, with angles of 90.00, 109.35 and 90.00 degrees. The distinct sites, in fractional coordinates, are Ac at (0.0000, 0.1242, 0.2500), Ac at (0.0000, 0.3739, 0.7500), Ac at (0.5000, 0.3734, 0.2500), Sm at (0.5000, 0.1235, 0.7500), S at (0.2582, 0.3676, 0.5078) and S at (0.2639, 0.1177, 0.0001).

---

[8]
Density functional theory data (PBE) for MgSiPd after structural relaxation.

The value obtained for the formation energy from raw total energies is -538.5 meV per atom. Its magnetic moment is 0.000 μB per atom. The energy is -4.609 eV/atom. The calculated density comes out at 5.3 g/cm3.

The space group is Imm2 (No. 44) and the conventional cell measures 4.1569, 19.7443 and 7.2198 Å, with angles of 90.00, 90.00 and 90.00 degrees. The distinct sites, in fractional coordinates, are Mg at (0.0000, 0.0000, 0.0000), Mg at (0.0000, 0.1640, 0.1006), Mg at (0.0000, 0.3293, 0.9711), Mg at (0.0000, 0.5000, 0.1096), Si at (0.0000, 0.0635, 0.4002), Si at (0.0000, 0.2374, 0.6644), Si at (0.0000, 0.4052, 0.3958), Pd at (0.0000, 0.1123, 0.7198), Pd at (0.0000, 0.2797, 0.3408) and Pd at (0.0000, 0.4298, 0.7231).

---

[9]
Density functional theory data (PBE) for Th2Ge2Au after structural relaxation.

The distance to the lowest polymorph of the same formula comes out at 3 meV/atom. Its magnetic moment is 0.000 μB per atom. The formation energy comes out at -340.1 kJ/mol of formula units. The energy is -6.175 eV/atom. The calculated density comes out at 11.3 g/cm3.

The space group is C2/m (No. 12) and the conventional cell measures 11.1954, 4.4068 and 10.7320 Å, with angles of 90.00, 116.56 and 90.00 degrees. The distinct sites, in fractional coordinates, are Th at (0.0073, 0.0000, 0.3273), Th at (0.1891, 0.0000, 0.1059), Ge at (0.0350, 0.5000, 0.8927), Ge at (0.1355, 0.5000, 0.5652) and Au at (0.2176, 0.5000, 0.3425).

---

[10]
Density functional theory data (PBE) for Ta2TiReN after structural relaxation.

The value obtained for the formation energy from raw total energies is -540.3 meV per atom. Its magnetic moment is 0.000 μB per atom. The energy is -11.015 eV/atom. The calculated density comes out at 13.8 g/cm3.

The space group is P4/mmm (No. 123) and the conventional cell measures 4.3317, 4.3317 and 3.9036 Å, with angles of 90.00, 90.00 and 90.00 degrees. The distinct sites, in fractional coordinates, are Ta at (0.0000, 0.5000, 0.0000), Ti at (0.0000, 0.0000, 0.5000), Re at (0.5000, 0.5000, 0.5000) and N at (0.0000, 0.0000, 0.0000).

---

[11]
Density functional theory data (PBE) for La2AgIr after structural relaxation.

The distance to the lowest polymorph of the same formula comes out at 4 meV/atom. Its magnetic moment is 0.000 μB per atom. The formation energy comes out at -201.2 kJ/mol of formula units. The energy is -5.913 eV/atom. The calculated density comes out at 8.2 g/cm3.

The space group is R3m (No. 160, hexagonal axes) and the conventional cell measures 4.2446, 4.2446 and 22.5922 Å, with angles of 90.00, 90.00 and 120.00 degrees. The distinct sites, in fractional coordinates, are La at (0.0000, 0.0000, 0.0000), La at (0.0000, 0.0000, 0.1962), Ag at (0.0000, 0.0000, 0.4326) and Ir at (0.0000, 0.0000, 0.5976).

---

[12]
Density functional theory data (PBE) for Ce2PmPaP4 after structural relaxation.

Its magnetic moment is 0.147 μB per atom. The formation energy comes out at -1134.9 kJ/mol of formula units. The energy is -7.440 eV/atom. The calculated density comes out at 6.8 g/cm3.

The space group is P2/m (No. 10) and the conventional cell measures 7.0333, 4.0638 and 7.0463 Å, with angles of 90.00, 109.41 and 90.00 degrees. The distinct sites, in fractional coordinates, are Ce at (0.0000, 0.0000, 0.0000), Ce at (0.5000, 0.5000, 0.0000), Pm at (0.0000, 0.5000, 0.5000), Pa at (0.5000, 0.0000, 0.5000), P at (0.2584, 0.0000, 0.7484) and P at (0.2595, 0.5000, 0.2573).

---

Question: Among the records above, which one has the lowest calculated density?
Answer: MgSiPd

---

Please write out number 3 again, unchanged.
Density functional theory data (PBE) for Pr2Ga7Pt12 after structural relaxation.

Its magnetic moment is 0.000 μB per atom. The formation energy comes out at -1554.6 kJ/mol of formula units. The energy is -5.683 eV/atom. The calculated density comes out at 14.2 g/cm3.

The space group is P-6 (No. 174) and the conventional cell measures 10.0986, 10.0986 and 4.1250 Å, with angles of 90.00, 90.00 and 120.00 degrees. The distinct sites, in fractional coordinates, are Pr at (0.0000, 0.0000, 0.0000), Pr at (0.3333, 0.6667, 0.5000), Ga at (0.0444, 0.5810, 0.0000), Ga at (0.2671, 0.0200, 0.5000), Ga at (0.6667, 0.3333, 0.0000), Pt at (0.0264, 0.7620, 0.5000), Pt at (0.1427, 0.3957, 0.0000), Pt at (0.3830, 0.1927, 0.0000) and Pt at (0.5585, 0.1310, 0.5000).

---

Question: Which value of calculated density does entry 11 give?
Answer: 8.2 g/cm3

---

Question: What is the magnetic moment in the eighth record?
Answer: 0.000 μB per atom